a) # Zn2Ga8Pd | Alexandria via LeMat-Bulk | PBE-GGA | relaxed
data_Zn2Ga8Pd
_chemical_formula_sum 'Zn4 Ga16 Pd2'
_symmetry_space_group_name_H-M 'C 1 2/m 1'
_symmetry_Int_Tables_number 12
_symmetry_space_group_name_Hall '-C 2y'
_cell_length_a 16.6718
_cell_length_b 4.3049
_cell_length_c 5.6002
_cell_angle_alpha 90.00
_cell_angle_beta 99.98
_cell_angle_gamma 90.00
loop_
_atom_site_label
_atom_site_type_symbol
_atom_site_fract_x
_atom_site_fract_y
_atom_site_fract_z
Zn1 Zn 0.1889 0.0000 0.0967
Ga1 Ga 0.0023 0.0000 0.2322
Ga2 Ga 0.1247 0.5000 0.2913
Ga3 Ga 0.1355 0.5000 0.8136
Ga4 Ga 0.2076 0.0000 0.6050
Pd1 Pd 0.0000 0.5000 0.5000
# Magnetic moment (μB/f.u.): 0.00



b) # Zn2Ga8Pd | Alexandria via LeMat-Bulk | PBE-GGA | relaxed
data_Zn2Ga8Pd
_chemical_formula_sum 'Zn4 Ga16 Pd2'
_symmetry_space_group_name_H-M 'C 1 2/m 1'
_symmetry_Int_Tables_number 12
_symmetry_space_group_name_Hall '-C 2y'
_cell_length_a 10.7662
_cell_length_b 8.0117
_cell_length_c 4.9133
_cell_angle_alpha 90.00
_cell_angle_beta 103.18
_cell_angle_gamma 90.00
loop_
_atom_site_label
_atom_site_type_symbol
_atom_site_fract_x
_atom_site_fract_y
_atom_site_fract_z
Zn1 Zn 0.1241 0.0000 0.0398
Ga1 Ga 0.0637 0.2845 0.2857
Ga2 Ga 0.1295 0.5000 0.8180
Ga3 Ga 0.2449 0.0000 0.6148
Pd1 Pd 0.0000 0.0000 0.5000
# Magnetic moment (μB/f.u.): 0.00



Which of them is least stable? Easy: b).



a) # Zn2GaPd8 | Alexandria via LeMat-Bulk | PBE-GGA | relaxed
data_Zn2GaPd8
_chemical_formula_sum 'Zn4 Ga2 Pd16'
_symmetry_space_group_name_H-M 'C 1 2/m 1'
_symmetry_Int_Tables_number 12
_symmetry_space_group_name_Hall '-C 2y'
_cell_length_a 13.8270
_cell_length_b 4.0892
_cell_length_c 6.0595
_cell_angle_alpha 90.00
_cell_angle_beta 105.51
_cell_angle_gamma 90.00
loop_
_atom_site_label
_atom_site_type_symbol
_atom_site_fract_x
_atom_site_fract_y
_atom_site_fract_z
Zn1 Zn 0.2202 0.0000 0.1516
Ga1 Ga 0.0000 0.5000 0.5000
Pd1 Pd 0.0404 0.0000 0.2374
Pd2 Pd 0.0976 0.5000 0.9567
Pd3 Pd 0.1495 0.0000 0.7057
Pd4 Pd 0.1757 0.5000 0.4222
# Magnetic moment (μB/f.u.): 0.00



b) # Zn2GaPd8 | Alexandria via LeMat-Bulk | PBE-GGA | relaxed
data_Zn2GaPd8
_chemical_formula_sum 'Zn4 Ga2 Pd16'
_symmetry_space_group_name_H-M 'I m m m'
_symmetry_Int_Tables_number 71
_symmetry_space_group_name_Hall '-I 2 2'
_cell_length_a 4.1645
_cell_length_b 6.9785
_cell_length_c 11.6245
_cell_angle_alpha 90.00
_cell_angle_beta 90.00
_cell_angle_gamma 90.00
loop_
_atom_site_label
_atom_site_type_symbol
_atom_site_fract_x
_atom_site_fract_y
_atom_site_fract_z
Zn1 Zn 0.0000 0.0000 0.1964
Ga1 Ga 0.0000 0.0000 0.5000
Pd1 Pd 0.0000 0.1904 0.0000
Pd2 Pd 0.0000 0.2792 0.3439
Pd3 Pd 0.0000 0.5000 0.1431
# Magnetic moment (μB/f.u.): 0.00



Which of them is least stable? Easy: b).



a) # Zn6GaPd2 | Alexandria via LeMat-Bulk | PBE-GGA | relaxed
data_Zn6GaPd2
_chemical_formula_sum 'Zn12 Ga2 Pd4'
_symmetry_space_group_name_H-M 'C 1 2/m 1'
_symmetry_Int_Tables_number 12
_symmetry_space_group_name_Hall '-C 2y'
_cell_length_a 12.7752
_cell_length_b 2.8013
_cell_length_c 9.1798
_cell_angle_alpha 90.00
_cell_angle_beta 123.89
_cell_angle_gamma 90.00
loop_
_atom_site_label
_atom_site_type_symbol
_atom_site_fract_x
_atom_site_fract_y
_atom_site_fract_z
Zn1 Zn 0.0425 0.0000 0.2411
Zn2 Zn 0.1244 0.5000 0.0468
Zn3 Zn 0.2402 0.0000 0.6118
Ga1 Ga 0.0000 0.0000 0.5000
Pd1 Pd 0.1562 0.5000 0.7854
# Magnetic moment (μB/f.u.): 0.00



b) # Zn6GaPd2 | Alexandria via LeMat-Bulk | PBE-GGA | relaxed
data_Zn6GaPd2
_chemical_formula_sum 'Zn24 Ga4 Pd8'
_symmetry_space_group_name_H-M 'C 1 2/c 1'
_symmetry_Int_Tables_number 15
_symmetry_space_group_name_Hall '-C 2yc'
_cell_length_a 11.3881
_cell_length_b 8.5640
_cell_length_c 7.9200
_cell_angle_alpha 90.00
_cell_angle_beta 134.07
_cell_angle_gamma 90.00
loop_
_atom_site_label
_atom_site_type_symbol
_atom_site_fract_x
_atom_site_fract_y
_atom_site_fract_z
Zn1 Zn 0.1373 0.1522 0.3172
Zn2 Zn 0.1374 0.1522 0.9573
Zn3 Zn 0.2501 0.0875 0.7500
Ga1 Ga 0.0000 0.4997 0.2500
Pd1 Pd 0.0788 0.3306 0.5790
# Magnetic moment (μB/f.u.): 0.00



Which of them is least stable? Easy: a).



a) # ZrGaPd6 | Alexandria via LeMat-Bulk | PBE-GGA | relaxed
data_ZrGaPd6
_chemical_formula_sum 'Zr1 Ga1 Pd6'
_symmetry_space_group_name_H-M 'P 4/m m m'
_symmetry_Int_Tables_number 123
_symmetry_space_group_name_Hall '-P 4 2'
_cell_length_a 4.0063
_cell_length_b 4.0063
_cell_length_c 7.8649
_cell_angle_alpha 90.00
_cell_angle_beta 90.00
_cell_angle_gamma 90.00
loop_
_atom_site_label
_atom_site_type_symbol
_atom_site_fract_x
_atom_site_fract_y
_atom_site_fract_z
Zr1 Zr 0.0000 0.0000 0.0000
Ga1 Ga 0.0000 0.0000 0.5000
Pd1 Pd 0.0000 0.5000 0.2557
Pd2 Pd 0.5000 0.5000 0.0000
Pd3 Pd 0.5000 0.5000 0.5000
# Magnetic moment (μB/f.u.): 0.00



b) # ZrGaPd6 | Alexandria via LeMat-Bulk | PBE-GGA | relaxed
data_ZrGaPd6
_chemical_formula_sum 'Zr2 Ga2 Pd12'
_symmetry_space_group_name_H-M 'C 1 2/m 1'
_symmetry_Int_Tables_number 12
_symmetry_space_group_name_Hall '-C 2y'
_cell_length_a 7.8031
_cell_length_b 5.4689
_cell_length_c 7.2446
_cell_angle_alpha 90.00
_cell_angle_beta 111.62
_cell_angle_gamma 90.00
loop_
_atom_site_label
_atom_site_type_symbol
_atom_site_fract_x
_atom_site_fract_y
_atom_site_fract_z
Zr1 Zr 0.0000 0.0000 0.0000
Ga1 Ga 0.0000 0.5000 0.5000
Pd1 Pd 0.1552 0.0000 0.4426
Pd2 Pd 0.1874 0.2427 0.7944
# Magnetic moment (μB/f.u.): 0.00



Which of them is least stable? Easy: b).



a) # Zr2Ga3Pd2 | Alexandria via LeMat-Bulk | PBE-GGA | relaxed
data_Zr2Ga3Pd2
_chemical_formula_sum 'Zr4 Ga6 Pd4'
_symmetry_space_group_name_H-M 'C 1 2/m 1'
_symmetry_Int_Tables_number 12
_symmetry_space_group_name_Hall '-C 2y'
_cell_length_a 9.8285
_cell_length_b 4.0072
_cell_length_c 6.7513
_cell_angle_alpha 90.00
_cell_angle_beta 113.82
_cell_angle_gamma 90.00
loop_
_atom_site_label
_atom_site_type_symbol
_atom_site_fract_x
_atom_site_fract_y
_atom_site_fract_z
Zr1 Zr 0.1375 0.0000 0.2719
Ga1 Ga 0.0000 0.5000 0.5000
Ga2 Ga 0.1583 0.0000 0.7147
Pd1 Pd 0.1143 0.5000 0.9266
# Magnetic moment (μB/f.u.): 0.00



b) # Zr2Ga3Pd2 | Alexandria via LeMat-Bulk | PBE-GGA | relaxed
data_Zr2Ga3Pd2
_chemical_formula_sum 'Zr4 Ga6 Pd4'
_symmetry_space_group_name_H-M 'C 1 2/m 1'
_symmetry_Int_Tables_number 12
_symmetry_space_group_name_Hall '-C 2y'
_cell_length_a 9.9363
_cell_length_b 4.1747
_cell_length_c 6.4892
_cell_angle_alpha 90.00
_cell_angle_beta 114.28
_cell_angle_gamma 90.00
loop_
_atom_site_label
_atom_site_type_symbol
_atom_site_fract_x
_atom_site_fract_y
_atom_site_fract_z
Zr1 Zr 0.1479 0.0000 0.2786
Ga1 Ga 0.0000 0.5000 0.5000
Ga2 Ga 0.1068 0.5000 0.9401
Pd1 Pd 0.1461 0.0000 0.7208
# Magnetic moment (μB/f.u.): 0.00



Which of them is least stable? Easy: a).



a) # PmGa5 | Alexandria via LeMat-Bulk | PBE-GGA | relaxed
data_PmGa5
_chemical_formula_sum 'Pm2 Ga10'
_symmetry_space_group_name_H-M 'C m m m'
_symmetry_Int_Tables_number 65
_symmetry_space_group_name_Hall '-C 2 2'
_cell_length_a 4.2128
_cell_length_b 12.1457
_cell_length_c 4.6996
_cell_angle_alpha 90.00
_cell_angle_beta 90.00
_cell_angle_gamma 90.00
loop_
_atom_site_label
_atom_site_type_symbol
_atom_site_fract_x
_atom_site_fract_y
_atom_site_fract_z
Pm1 Pm 0.0000 0.0000 0.0000
Ga1 Ga 0.0000 0.1745 0.5000
Ga2 Ga 0.0000 0.3150 0.0000
Ga3 Ga 0.0000 0.5000 0.5000
# Magnetic moment (μB/f.u.): 0.00



b) # PmGa5 | Alexandria via LeMat-Bulk | PBE-GGA | relaxed
data_PmGa5
_chemical_formula_sum 'Pm1 Ga5'
_symmetry_space_group_name_H-M 'P -6 2 m'
_symmetry_Int_Tables_number 189
_symmetry_space_group_name_Hall 'P -6 -2'
_cell_length_a 5.7328
_cell_length_b 5.7328
_cell_length_c 4.2833
_cell_angle_alpha 90.00
_cell_angle_beta 90.00
_cell_angle_gamma 120.00
loop_
_atom_site_label
_atom_site_type_symbol
_atom_site_fract_x
_atom_site_fract_y
_atom_site_fract_z
Pm1 Pm 0.0000 0.0000 0.0000
Ga1 Ga 0.0000 0.5729 0.5000
Ga2 Ga 0.3333 0.6667 0.0000
# Magnetic moment (μB/f.u.): 0.00



Which of them is least stable? Easy: b).



a) # Pm3Ga | Alexandria via LeMat-Bulk | PBE-GGA | relaxed
data_Pm3Ga
_chemical_formula_sum 'Pm3 Ga1'
_symmetry_space_group_name_H-M 'P 4/m m m'
_symmetry_Int_Tables_number 123
_symmetry_space_group_name_Hall '-P 4 2'
_cell_length_a 3.5997
_cell_length_b 3.5997
_cell_length_c 9.1459
_cell_angle_alpha 90.00
_cell_angle_beta 90.00
_cell_angle_gamma 90.00
loop_
_atom_site_label
_atom_site_type_symbol
_atom_site_fract_x
_atom_site_fract_y
_atom_site_fract_z
Pm1 Pm 0.0000 0.0000 0.0000
Pm2 Pm 0.5000 0.5000 0.2914
Ga1 Ga 0.0000 0.0000 0.5000
# Magnetic moment (μB/f.u.): 0.00



b) # Pm3Ga | Alexandria via LeMat-Bulk | PBE-GGA | relaxed
data_Pm3Ga
_chemical_formula_sum 'Pm3 Ga1'
_symmetry_space_group_name_H-M 'P m -3 m'
_symmetry_Int_Tables_number 221
_symmetry_space_group_name_Hall '-P 4 2 3'
_cell_length_a 4.8265
_cell_length_b 4.8265
_cell_length_c 4.8265
_cell_angle_alpha 90.00
_cell_angle_beta 90.00
_cell_angle_gamma 90.00
loop_
_atom_site_label
_atom_site_type_symbol
_atom_site_fract_x
_atom_site_fract_y
_atom_site_fract_z
Pm1 Pm 0.0000 0.0000 0.5000
Ga1 Ga 0.5000 0.5000 0.5000
# Magnetic moment (μB/f.u.): 0.00



c) # Pm3Ga | Alexandria via LeMat-Bulk | PBE-GGA | relaxed
data_Pm3Ga
_chemical_formula_sum 'Pm6 Ga2'
_symmetry_space_group_name_H-M 'I 4/m m m'
_symmetry_Int_Tables_number 139
_symmetry_space_group_name_Hall '-I 4 2'
_cell_length_a 4.7421
_cell_length_b 4.7421
_cell_length_c 10.0064
_cell_angle_alpha 90.00
_cell_angle_beta 90.00
_cell_angle_gamma 90.00
loop_
_atom_site_label
_atom_site_type_symbol
_atom_site_fract_x
_atom_site_fract_y
_atom_site_fract_z
Pm1 Pm 0.0000 0.0000 0.0000
Pm2 Pm 0.0000 0.5000 0.2500
Ga1 Ga 0.0000 0.0000 0.5000
# Magnetic moment (μB/f.u.): 0.00



Which of them is least stable? Easy: c).



a) # Pm3Ga | Alexandria via LeMat-Bulk | PBE-GGA | relaxed
data_Pm3Ga
_chemical_formula_sum 'Pm24 Ga8'
_symmetry_space_group_name_H-M 'I -4'
_symmetry_Int_Tables_number 82
_symmetry_space_group_name_Hall 'I -4'
_cell_length_a 12.3505
_cell_length_b 12.3505
_cell_length_c 6.2541
_cell_angle_alpha 90.00
_cell_angle_beta 90.00
_cell_angle_gamma 90.00
loop_
_atom_site_label
_atom_site_type_symbol
_atom_site_fract_x
_atom_site_fract_y
_atom_site_fract_z
Pm1 Pm 0.0381 0.1350 0.2352
Pm2 Pm 0.0785 0.6196 0.9856
Pm3 Pm 0.1728 0.7156 0.4905
Ga1 Ga 0.0504 0.2007 0.7316
# Magnetic moment (μB/f.u.): 0.00



b) # Pm3Ga | Alexandria via LeMat-Bulk | PBE-GGA | relaxed
data_Pm3Ga
_chemical_formula_sum 'Pm6 Ga2'
_symmetry_space_group_name_H-M 'I m m m'
_symmetry_Int_Tables_number 71
_symmetry_space_group_name_Hall '-I 2 2'
_cell_length_a 3.8201
_cell_length_b 5.3382
_cell_length_c 11.6995
_cell_angle_alpha 90.00
_cell_angle_beta 90.00
_cell_angle_gamma 90.00
loop_
_atom_site_label
_atom_site_type_symbol
_atom_site_fract_x
_atom_site_fract_y
_atom_site_fract_z
Pm1 Pm 0.0000 0.0000 0.0000
Pm2 Pm 0.0000 0.5000 0.2094
Ga1 Ga 0.0000 0.0000 0.5000
# Magnetic moment (μB/f.u.): 0.00



c) # Pm3Ga | Alexandria via LeMat-Bulk | PBE-GGA | relaxed
data_Pm3Ga
_chemical_formula_sum 'Pm12 Ga4'
_symmetry_space_group_name_H-M 'F m -3 m'
_symmetry_Int_Tables_number 225
_symmetry_space_group_name_Hall '-F 4 2 3'
_cell_length_a 7.7086
_cell_length_b 7.7086
_cell_length_c 7.7086
_cell_angle_alpha 90.00
_cell_angle_beta 90.00
_cell_angle_gamma 90.00
loop_
_atom_site_label
_atom_site_type_symbol
_atom_site_fract_x
_atom_site_fract_y
_atom_site_fract_z
Pm1 Pm 0.0000 0.0000 0.0000
Pm2 Pm 0.2500 0.2500 0.2500
Ga1 Ga 0.0000 0.0000 0.5000
# Magnetic moment (μB/f.u.): 1.18



Which of them is least stable? Easy: c).